# 1
The following is a DFT calculation (PBE-GGA) of a geometry-optimized CrFeP2Ir structure.

Energy of formation (meV/atom): 761
Total energy (Ry per atom): -0.4992
Theoretical density (g/cm³): 7.86

Lattice parameters (Å, degrees): 4.1847 4.1847 4.3665 90.00 90.00 90.00
Space group P4/mmm (No. 123)
Unique sites:
1 Cr 0.0000 0.0000 0.0000 x1
2 Fe 0.0000 0.0000 0.5000 x1
3 P 0.0000 0.5000 0.5000 x2
4 Ir 0.5000 0.5000 0.0000 x1

=====

# 2
The following is a DFT calculation (PBE-GGA) of a geometry-optimized Sr2Li3Hg2 structure.

Energy of formation (meV/atom): -327
Total energy (Ry per atom): -0.1260
Theoretical density (g/cm³): 5.08

Lattice parameters (Å, degrees): 11.8027 4.4728 8.1315 90.00 114.48 90.00
Space group C2/m (No. 12)
Unique sites:
1 Sr 0.1334 0.0000 0.2743 x4
2 Li 0.0000 0.5000 0.5000 x2
3 Li 0.1522 0.5000 0.9325 x4
4 Hg 0.1464 0.0000 0.7097 x4

=====

# 3
The following is a DFT calculation (PBE-GGA) of a geometry-optimized Ga3TcPb structure.

E above lowest polymorph (meV per atom): 0.0
Energy of formation (meV/atom): 157
Total energy (Ry per atom): -0.3288
Theoretical density (g/cm³): 7.35

Lattice parameters (Å, degrees): 4.8807 4.8807 4.8807 90.00 90.00 90.00
Space group Pm-3m (No. 221)
Unique sites:
1 Ga 0.0000 0.0000 0.5000 x3
2 Tc 0.0000 0.0000 0.0000 x1
3 Pb 0.5000 0.5000 0.5000 x1